The following is a GGA-PBE calculation of TbIr4Pb after structural relaxation, from Alexandria.

Cell: 5.3822 5.3822 5.3822 Å, 60.00 60.00 60.00°
Last column: nearest neighbours and their distance in Å.
Fractional coordinates of all 6 atoms:
Tb  0.0000  0.0000  0.0000  12 Ir 3.16, 4 Pb 3.30
Ir  0.3753  0.3753  0.3753  6 Ir 2.69-2.70
Ir  0.3753  0.3753  0.8742  6 Ir 2.69-2.70
Ir  0.3753  0.8742  0.3753  6 Ir 2.69-2.70
Ir  0.8742  0.3753  0.3753  6 Ir 2.69-2.70
Pb  0.7500  0.7500  0.7500  12 Ir 3.15, 4 Tb 3.30

calculated volume: 18.4 Å³ per atom
ΔH_f (0 K): -0.27 eV per atom
size of the total moment: 0.000 μB per formula unit
N(E_F): 1.53 states/eV per atom